No. 1
# Cu2Si2Pd

An optimized crystal structure of Cu2Si2Pd (GGA-PBE, Alexandria).

Values from the calculation:
The density of states at the Fermi level comes out at 1.93 states/eV/f.u. The formation energy (no corrections) is -0.088 eV/atom.

CIF file:
```
data_Cu2Si2Pd
_chemical_formula_sum 'Cu4 Si4 Pd2'
_symmetry_space_group_name_H-M 'P 1'
_symmetry_Int_Tables_number 1
_symmetry_space_group_name_Hall 'P 1'
_cell_length_a 6.2213
_cell_length_b 6.2213
_cell_length_c 3.6301
_cell_angle_alpha 90.00
_cell_angle_beta 90.00
_cell_angle_gamma 90.00
loop_
_atom_site_label
_atom_site_fract_x
_atom_site_fract_y
_atom_site_fract_z
_atom_site_occupancy
Cu1 0.1575 0.3425 0.0000 1
Cu2 0.3425 0.8425 0.0000 1
Cu3 0.6575 0.1575 0.0000 1
Cu4 0.8425 0.6575 0.0000 1
Si1 0.1349 0.6349 0.5000 1
Si2 0.3651 0.1349 0.5000 1
Si3 0.6349 0.8651 0.5000 1
Si4 0.8651 0.3651 0.5000 1
Pd1 0.0000 0.0000 0.5000 1
Pd2 0.5000 0.5000 0.5000 1
```

=====

No. 2
# Cu6SiPd12

An optimized crystal structure of Cu6SiPd12 (GGA-PBE, Alexandria).

Values from the calculation:
The density of states at the Fermi level comes out at 15.59 states/eV/f.u. The formation energy (no corrections) is -0.105 eV/atom.

CIF file:
```
data_Cu6SiPd12
_chemical_formula_sum 'Cu6 Si1 Pd12'
_symmetry_space_group_name_H-M 'P 1'
_symmetry_Int_Tables_number 1
_symmetry_space_group_name_Hall 'P 1'
_cell_length_a 6.5123
_cell_length_b 6.5123
_cell_length_c 6.5123
_cell_angle_alpha 89.90
_cell_angle_beta 89.90
_cell_angle_gamma 89.90
loop_
_atom_site_label
_atom_site_fract_x
_atom_site_fract_y
_atom_site_fract_z
_atom_site_occupancy
Cu1 0.2289 0.7652 0.3887 1
Cu2 0.2348 0.6113 0.7711 1
Cu3 0.3887 0.2289 0.7652 1
Cu4 0.6113 0.7711 0.2348 1
Cu5 0.7652 0.3887 0.2289 1
Cu6 0.7711 0.2348 0.6113 1
Si1 0.5000 0.5000 0.5000 1
Pd1 0.0326 0.3024 0.9392 1
Pd2 0.0608 0.9674 0.6976 1
Pd3 0.1401 0.3538 0.4804 1
Pd4 0.3024 0.9392 0.0326 1
Pd5 0.3538 0.4804 0.1401 1
Pd6 0.4804 0.1401 0.3538 1
Pd7 0.5196 0.8599 0.6462 1
Pd8 0.6462 0.5196 0.8599 1
Pd9 0.6976 0.0608 0.9674 1
Pd10 0.8599 0.6462 0.5196 1
Pd11 0.9392 0.0326 0.3024 1
Pd12 0.9674 0.6976 0.0608 1
```

=====

No. 3
# SmCuSi2Pd

An optimized crystal structure of SmCuSi2Pd (GGA-PBE, Alexandria).

Values from the calculation:
The density of states at the Fermi level comes out at 2.42 states/eV/f.u. The formation energy (no corrections) is -0.774 eV/atom.

CIF file:
```
data_SmCuSi2Pd
_chemical_formula_sum 'Sm1 Cu1 Si2 Pd1'
_symmetry_space_group_name_H-M 'P 1'
_symmetry_Int_Tables_number 1
_symmetry_space_group_name_Hall 'P 1'
_cell_length_a 5.8262
_cell_length_b 5.8262
_cell_length_c 5.8262
_cell_angle_alpha 138.74
_cell_angle_beta 138.74
_cell_angle_gamma 59.78
loop_
_atom_site_label
_atom_site_fract_x
_atom_site_fract_y
_atom_site_fract_z
_atom_site_occupancy
Sm1 0.0000 0.0000 0.0000 1
Cu1 0.2500 0.7500 0.5000 1
Si1 0.3828 0.3828 0.0000 1
Si2 0.6172 0.6172 0.0000 1
Pd1 0.7500 0.2500 0.5000 1
```

=====

No. 4
# Sm2CuSi4Pd3

An optimized crystal structure of Sm2CuSi4Pd3 (GGA-PBE, Alexandria).

Values from the calculation:
The density of states at the Fermi level comes out at 4.11 states/eV/f.u. The formation energy (no corrections) is -0.810 eV/atom.

CIF file:
```
data_Sm2CuSi4Pd3
_chemical_formula_sum 'Sm2 Cu1 Si4 Pd3'
_symmetry_space_group_name_H-M 'P 1'
_symmetry_Int_Tables_number 1
_symmetry_space_group_name_Hall 'P 1'
_cell_length_a 4.1830
_cell_length_b 4.1830
_cell_length_c 10.0071
_cell_angle_alpha 90.00
_cell_angle_beta 90.00
_cell_angle_gamma 90.00
loop_
_atom_site_label
_atom_site_fract_x
_atom_site_fract_y
_atom_site_fract_z
_atom_site_occupancy
Sm1 0.0000 0.5000 0.2485 1
Sm2 0.5000 0.0000 0.7515 1
Cu1 0.5000 0.5000 0.0000 1
Si1 0.0000 0.0000 0.5000 1
Si2 0.0000 0.5000 0.8683 1
Si3 0.5000 0.0000 0.1317 1
Si4 0.5000 0.5000 0.5000 1
Pd1 0.0000 0.0000 0.0000 1
Pd2 0.0000 0.5000 0.6245 1
Pd3 0.5000 0.0000 0.3755 1
```

=====

No. 5
# Sm3Cu2Si6Pd

An optimized crystal structure of Sm3Cu2Si6Pd (GGA-PBE, Alexandria).

Values from the calculation:
The density of states at the Fermi level comes out at 5.67 states/eV/f.u. The formation energy (no corrections) is -0.334 eV/atom.

CIF file:
```
data_Sm3Cu2Si6Pd
_chemical_formula_sum 'Sm3 Cu2 Si6 Pd1'
_symmetry_space_group_name_H-M 'P 1'
_symmetry_Int_Tables_number 1
_symmetry_space_group_name_Hall 'P 1'
_cell_length_a 5.8426
_cell_length_b 5.8426
_cell_length_c 7.8638
_cell_angle_alpha 90.00
_cell_angle_beta 90.00
_cell_angle_gamma 120.00
loop_
_atom_site_label
_atom_site_fract_x
_atom_site_fract_y
_atom_site_fract_z
_atom_site_occupancy
Sm1 0.0000 0.0000 0.0000 1
Sm2 0.3333 0.6667 0.6381 1
Sm3 0.6667 0.3333 0.3619 1
Cu1 0.3333 0.6667 0.0297 1
Cu2 0.6667 0.3333 0.9703 1
Si1 0.1944 0.3888 0.2882 1
Si2 0.1944 0.8056 0.2882 1
Si3 0.3888 0.1944 0.7118 1
Si4 0.6112 0.8056 0.2882 1
Si5 0.8056 0.1944 0.7118 1
Si6 0.8056 0.6112 0.7118 1
Pd1 0.0000 0.0000 0.5000 1
```

=====

No. 6
# Sm3CuSi6Pd2

An optimized crystal structure of Sm3CuSi6Pd2 (GGA-PBE, Alexandria).

Values from the calculation:
The density of states at the Fermi level comes out at 5.32 states/eV/f.u. The formation energy (no corrections) is -0.404 eV/atom.

CIF file:
```
data_Sm3CuSi6Pd2
_chemical_formula_sum 'Sm3 Cu1 Si6 Pd2'
_symmetry_space_group_name_H-M 'P 1'
_symmetry_Int_Tables_number 1
_symmetry_space_group_name_Hall 'P 1'
_cell_length_a 5.7161
_cell_length_b 5.7161
_cell_length_c 8.1690
_cell_angle_alpha 90.00
_cell_angle_beta 90.00
_cell_angle_gamma 120.00
loop_
_atom_site_label
_atom_site_fract_x
_atom_site_fract_y
_atom_site_fract_z
_atom_site_occupancy
Sm1 0.0000 0.0000 0.0000 1
Sm2 0.3333 0.6667 0.6134 1
Sm3 0.6667 0.3333 0.3866 1
Cu1 0.0000 0.0000 0.5000 1
Si1 0.1891 0.3783 0.2841 1
Si2 0.1891 0.8109 0.2841 1
Si3 0.3783 0.1891 0.7159 1
Si4 0.6217 0.8109 0.2841 1
Si5 0.8109 0.1891 0.7159 1
Si6 0.8109 0.6217 0.7159 1
Pd1 0.3333 0.6667 0.0324 1
Pd2 0.6667 0.3333 0.9676 1
```

=====

No. 7
# CuSi2SnPd

An optimized crystal structure of CuSi2SnPd (GGA-PBE, Alexandria).

Values from the calculation:
The density of states at the Fermi level comes out at 3.67 states/eV/f.u. The formation energy (no corrections) is 1.250 eV/atom.

CIF file:
```
data_CuSi2SnPd
_chemical_formula_sum 'Cu1 Si2 Sn1 Pd1'
_symmetry_space_group_name_H-M 'P 1'
_symmetry_Int_Tables_number 1
_symmetry_space_group_name_Hall 'P 1'
_cell_length_a 5.1123
_cell_length_b 5.1123
_cell_length_c 4.7017
_cell_angle_alpha 90.00
_cell_angle_beta 90.00
_cell_angle_gamma 90.00
loop_
_atom_site_label
_atom_site_fract_x
_atom_site_fract_y
_atom_site_fract_z
_atom_site_occupancy
Cu1 0.0000 0.0000 0.0000 1
Si1 0.0000 0.5000 0.5000 1
Si2 0.5000 0.0000 0.5000 1
Sn1 0.0000 0.0000 0.5000 1
Pd1 0.5000 0.5000 0.0000 1
```

=====

No. 8
# Sr2CuSi4Pd3

An optimized crystal structure of Sr2CuSi4Pd3 (GGA-PBE, Alexandria).

Values from the calculation:
The density of states at the Fermi level comes out at 2.46 states/eV/f.u. The formation energy (no corrections) is -0.612 eV/atom.

CIF file:
```
data_Sr2CuSi4Pd3
_chemical_formula_sum 'Sr2 Cu1 Si4 Pd3'
_symmetry_space_group_name_H-M 'P 1'
_symmetry_Int_Tables_number 1
_symmetry_space_group_name_Hall 'P 1'
_cell_length_a 4.2678
_cell_length_b 4.2678
_cell_length_c 10.2322
_cell_angle_alpha 90.00
_cell_angle_beta 90.00
_cell_angle_gamma 90.00
loop_
_atom_site_label
_atom_site_fract_x
_atom_site_fract_y
_atom_site_fract_z
_atom_site_occupancy
Sr1 0.0000 0.5000 0.2497 1
Sr2 0.5000 0.0000 0.7503 1
Cu1 0.0000 0.0000 0.5000 1
Si1 0.0000 0.0000 0.0000 1
Si2 0.0000 0.5000 0.6230 1
Si3 0.5000 0.0000 0.3770 1
Si4 0.5000 0.5000 0.0000 1
Pd1 0.0000 0.5000 0.8750 1
Pd2 0.5000 0.0000 0.1250 1
Pd3 0.5000 0.5000 0.5000 1
```